1.
Nd12NiSn6 (PBE-GGA, optimized geometry); total moment = 0.00 μB per cell; formation energy from the elements = -0.4637 eV per atom
1.0
6.166 3.560 4.787
-6.166 3.560 4.787
0.000 -7.120 4.787
Nd Ni Sn
12 1 6
Direct
0.044 0.917 0.691
0.083 0.309 0.956
0.197 0.423 0.551
0.309 0.956 0.083
0.423 0.551 0.197
0.449 0.803 0.577
0.551 0.197 0.423
0.577 0.449 0.803
0.691 0.044 0.917
0.803 0.577 0.449
0.917 0.691 0.044
0.956 0.083 0.309
0.000 0.000 0.000
0.137 0.743 0.359
0.257 0.641 0.863
0.359 0.137 0.743
0.641 0.863 0.257
0.743 0.359 0.137
0.863 0.257 0.641

2.
NaPmF4 (PBE-GGA, optimized geometry); total moment = 0.00 μB per cell; offset from the most stable computed form = 0 meV per atom
1.0
-2.800 2.800 5.558
2.800 -2.800 5.558
2.800 2.800 -5.558
Na Pm F
2 2 8
Direct
0.375 0.625 0.750
0.625 0.375 0.250
0.125 0.875 0.250
0.875 0.125 0.750
0.000 0.234 0.234
0.000 0.766 0.766
0.234 0.000 0.734
0.234 0.500 0.234
0.500 0.234 0.734
0.500 0.766 0.266
0.766 0.000 0.266
0.766 0.500 0.766

3.
BaLiEuSb (PBE-GGA, optimized geometry); total moment = 7.23 μB per cell; total DFT energy (no corrections) = -5.09 eV per atom
1.0
0.000 4.066 4.066
4.066 0.000 4.066
4.066 4.066 0.000
Ba Li Eu Sb
1 1 1 1
Direct
0.000 0.000 0.000
0.750 0.750 0.750
0.500 0.500 0.500
0.250 0.250 0.250

4.
NiSe3 (PBE-GGA, optimized geometry); total moment = 0.00 μB per cell; total DFT energy (no corrections) = -3.46 eV per atom
1.0
0.000 3.276 3.276
3.276 0.000 3.276
3.276 3.276 0.000
Ni Se
1 3
Direct
0.000 0.000 0.000
0.250 0.250 0.250
0.500 0.500 0.500
0.750 0.750 0.750

5.
AcPd2Au (PBE-GGA, optimized geometry); total moment = 0.00 μB per cell; offset from the most stable computed form = 110 meV per atom; formation energy from the elements = -0.6389 eV per atom
1.0
2.048 -10.188 0.000
2.048 10.188 0.000
0.000 0.000 4.451
Ac Pd Au
2 4 2
Direct
0.103 0.897 0.750
0.897 0.103 0.250
0.255 0.745 0.250
0.465 0.535 0.750
0.535 0.465 0.250
0.745 0.255 0.750
0.335 0.665 0.750
0.665 0.335 0.250

6.
ZnFeSb2Te (PBE-GGA, optimized geometry); total moment = 0.00 μB per cell; offset from the most stable computed form = 0 meV per atom
1.0
4.757 0.000 0.000
0.000 4.757 0.000
0.000 0.000 5.675
Zn Fe Sb Te
1 1 2 1
Direct
0.000 0.000 0.000
0.500 0.500 0.500
0.000 0.500 0.500
0.500 0.000 0.500
0.500 0.500 0.000

7.
Tb5TmHg6 (PBE-GGA, optimized geometry); total moment = 0.47 μB per cell; formation energy from the elements = -0.4798 eV per atom
1.0
2.627 -7.915 0.000
2.627 7.915 0.000
0.000 0.000 7.475
Tb Tm Hg
5 1 6
Direct
0.000 0.000 0.000
0.332 0.668 0.000
0.334 0.666 0.500
0.666 0.334 0.500
0.668 0.332 0.000
0.000 0.000 0.500
0.165 0.835 0.253
0.165 0.835 0.747
0.500 0.500 0.253
0.500 0.500 0.747
0.835 0.165 0.253
0.835 0.165 0.747

8.
LiGdAlRh (PBE-GGA, optimized geometry); total moment = 7.64 μB per cell; formation energy from the elements = -0.5387 eV per atom
1.0
0.000 3.292 3.292
3.292 0.000 3.292
3.292 3.292 0.000
Li Gd Al Rh
1 1 1 1
Direct
0.000 0.000 0.000
0.250 0.250 0.250
0.750 0.750 0.750
0.500 0.500 0.500

9.
KNaSr3 (PBE-GGA, optimized geometry); total moment = 0.00 μB per cell; offset from the most stable computed form = 352 meV per atom; formation energy from the elements = 0.6020 eV per atom
1.0
7.142 0.000 0.000
0.000 7.142 0.000
0.000 0.000 7.142
K Na Sr
1 1 3
Direct
0.000 0.000 0.000
0.500 0.500 0.500
0.000 0.000 0.500
0.000 0.500 0.000
0.500 0.000 0.000

10.
Tb2PrTmAs4 (PBE-GGA, optimized geometry); total moment = 0.00 μB per cell; formation energy from the elements = -1.5071 eV per atom
1.0
7.210 0.000 0.000
0.000 4.167 0.000
-2.404 0.000 6.801
Tb Pr Tm As
2 1 1 4
Direct
0.000 0.000 0.000
0.500 0.500 0.000
0.000 0.500 0.500
0.500 0.000 0.500
0.257 0.500 0.250
0.258 0.000 0.755
0.742 0.000 0.245
0.743 0.500 0.750

11.
LiPr4Zn3 (PBE-GGA, optimized geometry); total moment = 0.00 μB per cell; formation energy from the elements = -0.2198 eV per atom
1.0
2.642 1.525 8.621
-2.642 1.525 8.621
0.000 -3.050 8.621
Li Pr Zn
1 4 3
Direct
0.000 0.000 0.000
0.127 0.127 0.127
0.378 0.378 0.378
0.622 0.622 0.622
0.873 0.873 0.873
0.254 0.254 0.254
0.500 0.500 0.500
0.746 0.746 0.746

12.
Er2AgAu3 (PBE-GGA, optimized geometry); total moment = 0.00 μB per cell; offset from the most stable computed form = 0 meV per atom; formation energy from the elements = -0.7003 eV per atom
1.0
4.949 0.000 0.000
-2.474 4.286 0.000
0.000 0.000 11.981
Er Ag Au
4 2 6
Direct
0.000 0.000 0.000
0.000 0.000 0.500
0.333 0.667 0.188
0.667 0.333 0.812
0.333 0.667 0.675
0.667 0.333 0.325
0.000 0.000 0.246
0.000 0.000 0.754
0.333 0.667 0.432
0.333 0.667 0.932
0.667 0.333 0.068
0.667 0.333 0.568

> Look up the total moment of the eighth one.

7.64 μB per cell